# PBE KNa3Ag2Sb2, optimized geometry
data_KNa3Ag2Sb2
_chemical_formula_sum 'K1 Na3 Ag2 Sb2'
_symmetry_space_group_name_H-M 'P 1'
_symmetry_Int_Tables_number 1
_cell_length_a 6.085
_cell_length_b 5.882
_cell_length_c 6.462
_cell_angle_alpha 90.00
_cell_angle_beta 101.12
_cell_angle_gamma 90.00
loop_
_symmetry_equiv_pos_as_xyz
'x,y,z'
loop_
_atom_site_label
_atom_site_type_symbol
_atom_site_fract_x
_atom_site_fract_y
_atom_site_fract_z
K1 K 0.000 0.000 0.000
Na1 Na 0.066 0.500 0.349
Na2 Na 0.364 0.000 0.651
Na3 Na 0.707 0.500 0.683
Ag1 Ag 0.541 0.252 0.173
Ag2 Ag 0.541 0.748 0.173
Sb1 Sb 0.261 0.500 0.877
Sb2 Sb 0.816 0.000 0.470
# calculated volume	226.96	Å³ per cell
# DFT total energy	-21.8	eV per cell



# PBE HfMgTlFe, optimized geometry
data_HfMgTlFe
_chemical_formula_sum 'Hf1 Mg1 Tl1 Fe1'
_symmetry_space_group_name_H-M 'P 1'
_symmetry_Int_Tables_number 1
_cell_length_a 4.752
_cell_length_b 4.752
_cell_length_c 4.752
_cell_angle_alpha 60.00
_cell_angle_beta 60.00
_cell_angle_gamma 60.00
loop_
_symmetry_equiv_pos_as_xyz
'x,y,z'
loop_
_atom_site_label
_atom_site_type_symbol
_atom_site_fract_x
_atom_site_fract_y
_atom_site_fract_z
Hf1 Hf 0.000 0.000 0.000
Mg1 Mg 0.750 0.750 0.750
Tl1 Tl 0.250 0.250 0.250
Fe1 Fe 0.500 0.500 0.500
# magnetic moment	2.113	μB/cell
# calculated volume	75.87	Å³ per cell
# relative energy among the computed polymorphs	0.1560	eV per atom
# DFT total energy	-20.5	eV per cell



# PBE Be2GaFe, optimized geometry
data_Be2GaFe
_chemical_formula_sum 'Be2 Ga1 Fe1'
_symmetry_space_group_name_H-M 'P 1'
_symmetry_Int_Tables_number 1
_cell_length_a 3.877
_cell_length_b 3.877
_cell_length_c 3.877
_cell_angle_alpha 60.00
_cell_angle_beta 60.00
_cell_angle_gamma 60.00
loop_
_symmetry_equiv_pos_as_xyz
'x,y,z'
loop_
_atom_site_label
_atom_site_type_symbol
_atom_site_fract_x
_atom_site_fract_y
_atom_site_fract_z
Be1 Be 0.000 0.000 0.000
Be2 Be 0.250 0.250 0.250
Ga1 Ga 0.500 0.500 0.500
Fe1 Fe 0.750 0.750 0.750
# magnetic moment	0.082	μB/cell
# calculated volume	41.20	Å³ per cell
# DFT total energy	-18.5	eV per cell



# PBE Sc2In2Au, optimized geometry
data_Sc2In2Au
_chemical_formula_sum 'Sc2 In2 Au1'
_symmetry_space_group_name_H-M 'P 1'
_symmetry_Int_Tables_number 1
_cell_length_a 7.134
_cell_length_b 7.134
_cell_length_c 7.134
_cell_angle_alpha 146.58
_cell_angle_beta 146.58
_cell_angle_gamma 47.98
loop_
_symmetry_equiv_pos_as_xyz
'x,y,z'
loop_
_atom_site_label
_atom_site_type_symbol
_atom_site_fract_x
_atom_site_fract_y
_atom_site_fract_z
Sc1 Sc 0.091 0.091 0.000
Sc2 Sc 0.909 0.909 0.000
In1 In 0.250 0.750 0.500
In2 In 0.750 0.250 0.500
Au1 Au 0.500 0.500 0.000
# magnetic moment	0.618	μB/cell
# calculated volume	109.69	Å³ per cell
# DFT total energy	-20.6	eV per cell